Entry 1:
Material: CuP2Br
Method: DFT, GGA-PBE
State: optimized geometry

a b c (Å): 4.5487 15.4565 2.7434
angles (deg): 90.00 90.00 90.00
Last column: nearest neighbours and their distance in Å.
Space group Cmmm (No. 65)
Unique sites:
Cu1 0.0000 0.0000 0.0000 (multiplicity 2)  2 Br 2.27
P1 0.2500 0.2500 0.5000 (multiplicity 4)  2 P 2.27
Br1 0.0000 0.5000 0.0000 (multiplicity 2)  2 Cu 2.27

DFT total energy: -3.522 eV/atom
raw formation energy: 0.626 eV/atom
relative energy among the computed polymorphs: 0.678 eV per atom

Entry 2:
Material: CuP2Br
Method: DFT, GGA-PBE
State: optimized geometry

a b c (Å): 4.8342 4.8342 2.8967
angles (deg): 90.00 90.00 90.00
Last column: nearest neighbours and their distance in Å.
Space group P4/mmm (No. 123)
Unique sites:
Cu1 0.0000 0.0000 0.0000 (multiplicity 1)  8 P 2.82, 2 Cu 2.90
P1 0.0000 0.5000 0.5000 (multiplicity 2)  4 Br 2.82, 4 Cu 2.82, 2 P 2.90
Br1 0.5000 0.5000 0.0000 (multiplicity 1)  8 P 2.82, 2 Br 2.90

DFT total energy: -3.219 eV/atom
raw formation energy: 0.928 eV/atom
relative energy among the computed polymorphs: 0.981 eV per atom

Entry 3:
Material: CuPBr4
Method: DFT, GGA-PBE
State: optimized geometry

a b c (Å): 8.8314 8.8314 8.8314
angles (deg): 90.00 90.00 90.00
Last column: nearest neighbours and their distance in Å.
Space group F-43m (No. 216)
Unique sites:
Cu1 0.0000 0.0000 0.0000 (multiplicity 4)  12 Br 3.66, 4 P 3.82
P1 0.2500 0.2500 0.7500 (multiplicity 4)  12 Br 3.66, 4 Cu 3.82
Br1 0.1255 0.1255 0.3745 (multiplicity 16)  6 Br 3.11-3.14

DFT total energy: -1.498 eV/atom
raw formation energy: 1.201 eV/atom

Entry 4:
Material: Cu3PBr
Method: DFT, GGA-PBE
State: optimized geometry

a b c (Å): 4.6187 4.6187 4.6187
angles (deg): 90.00 90.00 90.00
Last column: nearest neighbours and their distance in Å.
Space group Pm-3m (No. 221)
Unique sites:
Cu1 0.0000 0.0000 0.5000 (multiplicity 3)  2 Br 2.31
P1 0.5000 0.5000 0.5000 (multiplicity 1)  12 Cu 3.27
Br1 0.0000 0.0000 0.0000 (multiplicity 1)  6 Cu 2.31

DFT total energy: -2.810 eV/atom
raw formation energy: 1.064 eV/atom
relative energy among the computed polymorphs: 0.887 eV per atom